Entry from Alexandria: a relaxed MnInP crystal (PBE).

Output
Calculated formation energy: 0.0043 eV per atom

a b c (Å): 5.4776 5.4776 5.4776
angles (deg): 148.00 148.00 45.89
Sites, in units of the cell vectors:
1 Mn 0.0000 0.0000 0.0000
2 In 0.6981 0.6981 0.0000
3 P 0.4090 0.4090 0.0000

Entry from Alexandria: a relaxed Ho3GaHg3 crystal (PBE).

Output
Calculated formation energy: -0.4396 eV per atom

a b c (Å): 10.4120 10.4120 10.4120
angles (deg): 159.87 153.70 33.34
Sites, in units of the cell vectors:
1 Ho 0.0000 0.0000 0.0000
2 Ho 0.3869 0.3869 0.0000
3 Ho 0.6991 0.1991 0.5000
4 Ga 0.2628 0.7628 0.5000
5 Hg 0.1302 0.6302 0.5000
6 Hg 0.5431 0.5431 0.0000
7 Hg 0.8421 0.8421 0.0000

Entry from Alexandria: a relaxed SmUCrC3 crystal (PBE).

Output
Calculated formation energy: -0.0977 eV per atom

a b c (Å): 6.8581 6.8581 6.9285
angles (deg): 104.79 104.79 32.04
Sites, in units of the cell vectors:
1 Sm 0.1412 0.1412 0.0738
2 Sm 0.8588 0.8588 0.9262
3 U 0.1499 0.1499 0.5741
4 U 0.8501 0.8501 0.4259
5 Cr 0.4960 0.4960 0.2782
6 Cr 0.5040 0.5040 0.7218
7 C 0.0044 0.0044 0.2793
8 C 0.3323 0.3323 0.6320
9 C 0.3436 0.3436 0.2024
10 C 0.6564 0.6564 0.7976
11 C 0.6677 0.6677 0.3680
12 C 0.9956 0.9956 0.7207

Entry from Alexandria: a relaxed LiCuW2 crystal (PBE).

Output
Distance to the lowest polymorph of the same formula: 0.801 eV per atom
Calculated formation energy: 1.0466 eV per atom

a b c (Å): 5.4785 5.4785 5.4785
angles (deg): 102.27 102.27 125.10
Sites, in units of the cell vectors:
1 Li 0.0000 0.0000 0.0000
2 Li 0.7500 0.2500 0.5000
3 Cu 0.2500 0.7500 0.5000
4 Cu 0.5000 0.5000 0.0000
5 W 0.1295 0.6250 0.0045
6 W 0.3750 0.3795 0.5045
7 W 0.6205 0.1250 0.9955
8 W 0.8750 0.8705 0.4955

Entry from Alexandria: a relaxed Pm2PrNdH crystal (PBE).

a b c (Å): 5.1667 5.1667 5.1767
angles (deg): 90.00 90.00 90.00
Sites, in units of the cell vectors:
1 Pm 0.0000 0.5000 0.0000
2 Pm 0.5000 0.0000 0.0000
3 Pr 0.0000 0.0000 0.5000
4 Nd 0.5000 0.5000 0.5000
5 H 0.5000 0.5000 0.0000

The records above yield calculated total energy values of -17.30, -20.74, -107.78, -55.46, -23.28 eV for the cell shown, respectively.